# 1
Compound: La3CeNd
Source: Alexandria
Functional: GGA-PBE
Structure: relaxed

The calculation puts the formation energy at 1.1 eV per formula unit.

The structure belongs to space group P6_3/mmc (No. 194); the cell edges are 7.7218, 7.7218 and 6.7238 Å and the angles 90.00°, 90.00° and 120.00°. Symmetry generates all atoms from La at (0.1892, 0.3783, 0.2500), Ce at (0.0000, 0.0000, 0.0000) and Nd at (0.3333, 0.6667, 0.7500).



# 2
Compound: LaCeNd
Source: Alexandria
Functional: GGA-PBE
Structure: relaxed

The calculation puts the formation energy at 0.2 eV per formula unit. The relative energy among the computed polymorphs comes out at 0.04 eV per formula unit.

The structure belongs to space group P-1 (No. 2); the cell edges are 3.6283, 6.2852 and 9.0374 Å and the angles 103.48°, 90.04° and 90.02°. Symmetry generates all atoms from La at (0.2489, 0.4788, 0.1826), Ce at (0.2501, 0.2479, 0.4990) and Nd at (0.2515, 0.0233, 0.8207).



# 3
Compound: La5CeNd8
Source: Alexandria
Functional: GGA-PBE
Structure: relaxed

The calculation puts the formation energy at 2.8 eV per formula unit.

The structure belongs to space group I-4 (No. 82); the cell edges are 9.7422, 9.7422 and 10.5390 Å and the angles 90.00°, 90.00° and 90.00°. Symmetry generates all atoms from La at (0.0000, 0.0000, 0.0000), La at (0.1069, 0.7212, 0.6860), Ce at (0.0000, 0.5000, 0.2500), Nd at (0.0680, 0.6787, 0.0187) and Nd at (0.0784, 0.8162, 0.3618).



# 4
Compound: La3CeNd3
Source: Alexandria
Functional: GGA-PBE
Structure: relaxed

The calculation puts the formation energy at 1.3 eV per formula unit.

The structure belongs to space group C2/m (No. 12); the cell edges are 11.9451, 11.3440 and 7.3740 Å and the angles 90.00°, 98.70° and 90.00°. Symmetry generates all atoms from La at (0.0177, 0.0000, 0.2606), La at (0.2316, 0.2173, 0.7516), Ce at (0.2261, 0.5000, 0.4497), Nd at (0.0000, 0.2939, 0.0000), Nd at (0.0000, 0.3121, 0.5000) and Nd at (0.2081, 0.5000, 0.9160).



# 5
Compound: La5CeNd4
Source: Alexandria
Functional: GGA-PBE
Structure: relaxed

The calculation puts the formation energy at 0.5 eV per formula unit.

The structure belongs to space group C2/m (No. 12); the cell edges are 17.7171, 3.6419 and 11.7399 Å and the angles 90.00°, 109.50° and 90.00°. Symmetry generates all atoms from La at (0.0000, 0.0000, 0.0000), La at (0.1921, 0.5000, 0.0875), La at (0.2035, 0.5000, 0.6058), Ce at (0.0000, 0.0000, 0.5000), Nd at (0.0856, 0.5000, 0.2973) and Nd at (0.1041, 0.0000, 0.7952).



# 6
Compound: LaCe2Nd
Source: Alexandria
Functional: GGA-PBE
Structure: relaxed

The calculation puts the formation energy at 0.5 eV per formula unit. The relative energy among the computed polymorphs comes out at 0.03 eV per formula unit.

The structure belongs to space group R3m (No. 160, hexagonal axes); the cell edges are 3.5450, 3.5450 and 35.3344 Å and the angles 90.00°, 90.00° and 120.00°. Symmetry generates all atoms from La at (0.0000, 0.0000, 0.0000), Ce at (0.0000, 0.0000, 0.5849), Ce at (0.0000, 0.0000, 0.7523) and Nd at (0.0000, 0.0000, 0.1700).



| no. | Fermi-level density of states (states/eV/f.u.) |
| --- | --- |
| 1 | 6.51 |
| 2 | 5.81 |
| 3 | 24.66 |
| 4 | 13.22 |
| 5 | 16.10 |
| 6 | 10.96 |